No. 1
Density functional theory data (PBE) for a relaxed structure of MgCuBi.

## Properties
Electronic total energy (eV per atom): -3.1160
SG: Cmcm (63)
Energy relative to the elements (eV/f.u.): 0.22

abc: 4.6662 4.6662 6.2783
angles: 90.00 90.00 109.66
With the nearest neighbours (Å) after each atom.
Fractional positions:
Mg  0.0000  0.0000  0.0000  2 Cu 2.69
Mg  0.0000  0.0000  0.5000  2 Cu 2.69
Cu  0.2871  0.7129  0.7500  2 Mg 2.69, 3 Bi 2.75-2.89
Cu  0.7129  0.2871  0.2500  2 Mg 2.69, 3 Bi 2.75-2.89
Bi  0.3527  0.6473  0.2500  3 Cu 2.75-2.89
Bi  0.6473  0.3527  0.7500  3 Cu 2.75-2.89

***

No. 2
Density functional theory data (PBE) for a relaxed structure of NdCoPd.

## Properties
Electronic total energy (eV per atom): -5.7895
SG: P4/mmm (123)
Energy relative to the elements (eV/f.u.): -0.30

abc: 3.4651 3.4651 9.6075
angles: 90.00 90.00 90.00
With the nearest neighbours (Å) after each atom.
Fractional positions:
Nd  0.0000  0.0000  0.1813  4 Pd 3.01, 5 Co 3.01-3.06
Nd  0.0000  0.0000  0.8187  4 Pd 3.01, 5 Co 3.01-3.06
Co  0.0000  0.0000  0.5000  8 Pd 2.78, 2 Nd 3.06
Co  0.5000  0.5000  0.0000  8 Nd 3.01
Pd  0.5000  0.5000  0.3624  1 Pd 2.64, 4 Co 2.78
Pd  0.5000  0.5000  0.6376  1 Pd 2.64, 4 Co 2.78

***

No. 3
Density functional theory data (PBE) for a relaxed structure of TeSeCl.

## Properties
Electronic total energy (eV per atom): -2.9744
Energy above the lowest structure with this stoichiometry (meV per atom): 101
SG: P1 (1)
Formation energy (no corrections) (eV per formula unit): -0.5

abc: 5.3396 6.6760 6.7321
angles: 78.30 83.46 71.95
With the nearest neighbours (Å) after each atom.
Fractional positions:
Te  0.0000  0.0000  0.0000  1 Se 2.60, 1 Te 2.83
Te  0.4474  0.6666  0.9037  1 Cl 2.38
Se  0.1196  0.4875  0.1563  1 Se 2.41, 1 Te 2.68
Se  0.2805  0.1030  0.2316  1 Se 2.41, 1 Te 2.60
Cl  0.3752  0.5610  0.6030  1 Te 2.38
Cl  0.7115  0.9247  0.6812  2 Te 2.68-2.98

***

No. 4
Density functional theory data (PBE) for a relaxed structure of TaTl2P2N6.

## Properties
Electronic total energy (eV per atom): -7.1232
SG: R-3m (166)
Formation energy (no corrections) (eV per formula unit): -1.0

abc: 7.2276 7.2276 7.2276
angles: 45.86 45.86 45.86
With the nearest neighbours (Å) after each atom.
Fractional positions:
Ta  0.0000  0.0000  0.0000  6 N 2.08
Tl  0.2058  0.2058  0.2058  9 N 3.08-3.23
Tl  0.7942  0.7942  0.7942  9 N 3.08-3.23
P  0.3937  0.3937  0.3937  3 N 1.57
P  0.6063  0.6063  0.6063  3 N 1.57
N  0.2357  0.2357  0.7185  1 P 1.57
N  0.2357  0.7185  0.2357  1 P 1.57
N  0.2815  0.7643  0.7643  1 P 1.57
N  0.7185  0.2357  0.2357  1 P 1.57
N  0.7643  0.2815  0.7643  1 P 1.57
N  0.7643  0.7643  0.2815  1 P 1.57

***

No. 5
Density functional theory data (PBE) for a relaxed structure of LaPmPtBr.

## Properties
Electronic total energy (eV per atom): -5.6281
SG: R3m (160)
Formation energy (no corrections) (eV per formula unit): -5.1

abc: 8.2831 8.2831 8.2831
angles: 29.41 29.41 29.41
With the nearest neighbours (Å) after each atom.
Fractional positions:
La  0.0000  0.0000  0.0000  3 Pt 2.91
Pm  0.2010  0.2010  0.2010  3 Pt 2.88
Pt  0.5991  0.5991  0.5991  3 Pm 2.88, 3 La 2.91
Br  0.7706  0.7706  0.7706  3 Pm 3.35, 3 La 3.46

***

No. 6
Density functional theory data (PBE) for a relaxed structure of LiThPd6.

## Properties
Electronic total energy (eV per atom): -5.3499
Energy above the lowest structure with this stoichiometry (meV per atom): 334
SG: C2/m (12)
Energy relative to the elements (eV/f.u.): -2.31

abc: 5.7274 5.7274 5.6637
angles: 104.29 104.29 119.65
With the nearest neighbours (Å) after each atom.
Fractional positions:
Li  0.0000  0.0000  0.0000  2 Pd 2.23
Th  0.5000  0.5000  0.5000  6 Pd 2.70-2.73, 2 Li 2.88
Pd  0.0000  0.4579  0.2446  1 Li 2.65, 6 Pd 2.70-2.93, 1 Th 2.73
Pd  0.0000  0.5421  0.7554  1 Li 2.65, 6 Pd 2.70-2.93, 1 Th 2.73
Pd  0.2210  0.2210  0.7678  1 Li 2.23
Pd  0.4579  0.0000  0.2446  1 Li 2.65, 6 Pd 2.70-2.93, 1 Th 2.73
Pd  0.5421  0.0000  0.7554  1 Li 2.65, 6 Pd 2.70-2.93, 1 Th 2.73
Pd  0.7790  0.7790  0.2322  1 Li 2.23

***

The highest electronic total energy belongs to which entry? TeSeCl

***

Among the records above, which one has the highest electronic total energy? TeSeCl